1.
# YScPb2

An optimized crystal structure of YScPb2 (PBE-GGA, the Alexandria database).

Computed properties:
Its formation energy is -1.83 eV per formula unit. The value obtained for the density is 8.6 Mg/m³.

Unit cell a=6.244 b=6.244 c=4.437 alpha=69.20 beta=69.20 gamma=41.64
Positions (direct):
Pb (0.000, 0.000, 0.000)
Pb (0.750, 0.750, 0.750)
Sc (0.500, 0.500, 0.500)
Y (0.250, 0.250, 0.250)

2.
# YScPb

An optimized crystal structure of YScPb (PBE-GGA, the Alexandria database).

Computed properties:
For the offset from the most stable computed form, the calculation gives 0.195 eV/atom. Its formation energy is -0.86 eV per formula unit. The value obtained for the density is 7.0 Mg/m³.

Unit cell a=6.026 b=6.026 c=6.026 alpha=145.67 beta=139.01 gamma=54.51
Last column: magnetic moment on the atom in μB.
Positions (direct):
Pb (0.990, 0.990, 0.000)  -0.01
Y (0.664, 0.664, 0.000)  0.28
Sc (0.346, 0.346, 0.000)  0.37

3.
# YScPb2

An optimized crystal structure of YScPb2 (PBE-GGA, the Alexandria database).

Computed properties:
Its formation energy is -1.24 eV per formula unit. The value obtained for the density is 8.3 Mg/m³.

Unit cell a=9.862 b=9.862 c=9.862 alpha=21.24 beta=21.24 gamma=21.24
Positions (direct):
Pb (0.996, 0.996, 0.996)
Pb (0.504, 0.504, 0.504)
Y (0.750, 0.750, 0.750)
Sc (0.250, 0.250, 0.250)

4.
# YSc2Pb2

An optimized crystal structure of YSc2Pb2 (PBE-GGA, the Alexandria database).

Computed properties:
For the offset from the most stable computed form, the calculation gives 0.094 eV/atom. Its formation energy is -1.39 eV per formula unit. The value obtained for the density is 7.2 Mg/m³.

Unit cell a=4.492 b=4.492 c=7.498 alpha=72.57 beta=72.57 gamma=90.00
Last column: magnetic moment on the atom in μB.
Positions (direct):
Sc (0.750, 0.250, 0.500)  0.28
Sc (0.250, 0.750, 0.500)  0.28
Pb (0.608, 0.608, 0.785)  0.00
Pb (0.392, 0.392, 0.215)  0.00
Y (0.000, 0.000, 0.000)  -0.01

5.
# Y3ScPb2

An optimized crystal structure of Y3ScPb2 (PBE-GGA, the Alexandria database).

Computed properties:
Its formation energy is -2.80 eV per formula unit. The value obtained for the density is 7.0 Mg/m³.

Unit cell a=4.520 b=4.520 c=8.424 alpha=90.00 beta=90.00 gamma=90.00
Positions (direct):
Y (0.000, 0.000, 0.000)
Y (0.000, 0.500, 0.658)
Y (0.500, 0.000, 0.342)
Pb (0.000, 0.500, 0.277)
Pb (0.500, 0.000, 0.723)
Sc (0.500, 0.500, 0.000)

6.
# YSc4Pb

An optimized crystal structure of YSc4Pb (PBE-GGA, the Alexandria database).

Computed properties:
Its formation energy is 0.49 eV per formula unit. The value obtained for the density is 5.0 Mg/m³.

Unit cell a=6.082 b=6.082 c=6.082 alpha=60.00 beta=60.00 gamma=60.00
Last column: magnetic moment on the atom in μB.
Positions (direct):
Pb (0.000, 0.000, 0.000)  -0.02
Sc (0.376, 0.376, 0.872)  0.19
Sc (0.872, 0.376, 0.376)  0.19
Sc (0.376, 0.872, 0.376)  0.19
Sc (0.376, 0.376, 0.376)  0.19
Y (0.750, 0.750, 0.750)  0.34

Q: Among the records above, which one has the lowest density?
A: YSc4Pb

Q: density of number 4 (YSc2Pb2)?
A: 7.2 Mg/m³